# Cs3NaSn2Br9

A relaxed structure of Cs3NaSn2Br9 (GGA-PBE, Alexandria via LeMat-Bulk).

Its formation energy (no corrections) is -1290 meV/atom.

It has space group P-3m1 (No. 164), with a = 8.1925 Å, b = 8.1925 Å, c = 10.0023 Å, α = 90.00°, β = 90.00° and γ = 120.00°. The distinct sites, in fractional coordinates, are Cs at (0.0000, 0.0000, 0.0000), Cs at (0.3333, 0.6667, 0.6594), Na at (0.0000, 0.0000, 0.5000), Sn at (0.3333, 0.6667, 0.1708), Br at (0.0000, 0.5000, 0.0000) and Br at (0.1716, 0.3431, 0.3317).